[1]
# Nd2In3Au6

A geometry-optimized Nd2In3Au6 structure (PBE, the Alexandria database).

abc: 4.0673 8.2210 8.2210
angles: 73.01 90.00 90.00
Sites, in units of the cell vectors:
Au 0.5000 0.6126 0.6126
Au 0.5000 0.9599 0.3517
Au 0.5000 0.6483 0.0401
Au 0.5000 0.3517 0.9599
In 0.0000 0.7685 0.7685
Nd 0.0000 0.3027 0.6973
Au 0.5000 0.0401 0.6483
Au 0.5000 0.3874 0.3874
In 0.0000 0.2315 0.2315
In 0.5000 0.0000 0.0000
Nd 0.0000 0.6973 0.3027

Results
uncorrected energy	-3.87	eV per atom
energy relative to the elements	-0.470	eV/atom
total magnetization	0.00	μB per formula unit



[2]
# MnCr2Ru

A geometry-optimized MnCr2Ru structure (PBE, the Alexandria database).

abc: 4.5404 4.5404 4.5404
angles: 132.80 132.80 68.97
Each line ends with the local moment (μB).
Sites, in units of the cell vectors:
Cr 0.2500 0.7500 0.5000  -0.75
Cr 0.0000 0.0000 0.0000  -0.50
Ru 0.7500 0.2500 0.5000  0.06
Mn 0.5000 0.5000 0.0000  1.73

Results
uncorrected energy	-9.26	eV per atom
energy relative to the elements	0.167	eV/atom
total magnetization	0.52	μB per formula unit



[3]
# NdYLuZr

A geometry-optimized NdYLuZr structure (PBE, the Alexandria database).

abc: 5.5041 5.5041 5.5041
angles: 60.00 60.00 60.00
Each line ends with the local moment (μB).
Sites, in units of the cell vectors:
Y 0.7500 0.7500 0.7500  -0.13
Nd 0.5000 0.5000 0.5000  0.02
Zr 0.0000 0.0000 0.0000  -0.53
Lu 0.2500 0.2500 0.2500  -0.10

Results
uncorrected energy	-5.86	eV per atom
energy relative to the elements	0.213	eV/atom
total magnetization	1.20	μB per formula unit



[4]
# PrGa3Ir

A geometry-optimized PrGa3Ir structure (PBE, the Alexandria database).

abc: 4.7834 6.2460 7.3957
angles: 90.00 90.00 90.00
Sites, in units of the cell vectors:
Ga 0.5000 0.0000 0.5000
Ga 0.0000 0.7508 0.2495
Ga 0.0000 0.7492 0.7495
Ir 0.0000 0.0000 0.5000
Pr 0.5000 0.5000 0.5000
Ga 0.0000 0.2508 0.2505
Ga 0.0000 0.2492 0.7505
Pr 0.5000 0.0000 0.0000
Ir 0.0000 0.5000 0.0000
Ga 0.5000 0.5000 0.0000

Results
uncorrected energy	-4.93	eV per atom
energy relative to the elements	-0.384	eV/atom
total magnetization	0.00	μB per formula unit



[5]
# Ca2CdFe

A geometry-optimized Ca2CdFe structure (PBE, the Alexandria database).

abc: 3.6493 5.2956 5.2956
angles: 90.00 90.00 90.00
Each line ends with the local moment (μB).
Sites, in units of the cell vectors:
Ca 0.0000 0.0000 0.0000  -0.06
Fe 0.5000 0.0000 0.5000  2.83
Ca 0.0000 0.5000 0.5000  -0.06
Cd 0.5000 0.5000 0.0000  -0.02

Results
uncorrected energy	-3.12	eV per atom
energy relative to the elements	0.225	eV/atom
total magnetization	2.45	μB per formula unit



[6]
# CaSnW3

A geometry-optimized CaSnW3 structure (PBE, the Alexandria database).

abc: 4.9926 4.9926 4.9926
angles: 90.00 90.00 90.00
Sites, in units of the cell vectors:
Ca 0.5000 0.5000 0.5000
W 0.0000 0.0000 0.5000
W 0.0000 0.5000 0.0000
Sn 0.0000 0.0000 0.0000
W 0.5000 0.0000 0.0000

Results
uncorrected energy	-6.70	eV per atom
energy relative to the elements	2.273	eV/atom
total magnetization	0.00	μB per formula unit



[7]
# Sr4Zn3Ir2

A geometry-optimized Sr4Zn3Ir2 structure (PBE, the Alexandria database).

abc: 4.1719 7.5646 8.5349
angles: 108.59 104.15 90.00
Sites, in units of the cell vectors:
Sr 0.5713 0.8620 0.1426
Sr 0.7688 0.3145 0.5376
Ir 0.4067 0.5467 0.8135
Zn 0.0000 0.5000 0.0000
Sr 0.2312 0.6855 0.4624
Sr 0.4287 0.1380 0.8574
Ir 0.5933 0.4533 0.1865
Zn 0.0974 0.2592 0.1947
Zn 0.9026 0.7408 0.8053

Results
uncorrected energy	-3.40	eV per atom
energy relative to the elements	-0.261	eV/atom
total magnetization	0.00	μB per formula unit



[8]
# Sr2MoIr2

A geometry-optimized Sr2MoIr2 structure (PBE, the Alexandria database).

abc: 6.6810 6.6810 5.1519
angles: 90.00 90.00 90.00
Sites, in units of the cell vectors:
Ir 0.1333 0.3667 0.0000
Sr 0.1807 0.6807 0.5000
Sr 0.8193 0.3193 0.5000
Ir 0.6333 0.1333 0.0000
Mo 0.0000 0.0000 0.0000
Ir 0.8667 0.6333 0.0000
Sr 0.6807 0.8193 0.5000
Sr 0.3193 0.1807 0.5000
Ir 0.3667 0.8667 0.0000
Mo 0.5000 0.5000 0.0000

Results
uncorrected energy	-6.32	eV per atom
energy relative to the elements	0.066	eV/atom
total magnetization	0.00	μB per formula unit



[9]
# CaLaAg2

A geometry-optimized CaLaAg2 structure (PBE, the Alexandria database).

abc: 5.3800 3.7005 5.3809
angles: 90.01 90.00 90.00
Sites, in units of the cell vectors:
Ca 0.0000 0.6254 0.3751
Ag 0.5000 0.1250 0.3747
Ag 0.0000 0.1249 0.8753
La 0.5000 0.6248 0.8748

Results
uncorrected energy	-3.45	eV per atom
energy relative to the elements	-0.287	eV/atom
total magnetization	0.00	μB per formula unit



[10]
# Pm2DyIn

A geometry-optimized Pm2DyIn structure (PBE, the Alexandria database).

abc: 4.9590 4.9009 4.9009
angles: 90.00 90.00 90.00
Sites, in units of the cell vectors:
Dy 0.5000 0.0000 0.0000
In 0.5000 0.5000 0.5000
Pm 0.0000 0.0000 0.5000
Pm 0.0000 0.5000 0.0000

Results
uncorrected energy	-4.48	eV per atom
energy relative to the elements	-0.270	eV/atom
total magnetization	0.07	μB per formula unit



[11]
# KReSb2

A geometry-optimized KReSb2 structure (PBE, the Alexandria database).

abc: 5.0487 5.0479 3.5921
angles: 90.00 90.00 90.00
Sites, in units of the cell vectors:
Sb 0.0000 0.0000 0.0000
Re 0.0000 0.5000 0.5000
Sb 0.5000 0.5000 0.0000
K 0.5000 0.0000 0.5000

Results
uncorrected energy	-4.47	eV per atom
formation energy (no corrections)	0.98	eV per atom
total magnetization	0.00	μB per formula unit



[12]
# YTl2Os

A geometry-optimized YTl2Os structure (PBE, the Alexandria database).

abc: 3.5016 4.3343 7.1261
angles: 72.28 90.00 90.00
Sites, in units of the cell vectors:
Tl 0.5000 0.1829 0.2596
Tl 0.0000 0.8154 0.9978
Os 0.5000 0.9775 0.6683
Y 0.0000 0.5242 0.5744

Results
uncorrected energy	-5.39	eV per atom
energy relative to the elements	0.216	eV/atom
total magnetization	0.00	μB per formula unit



[13]
# TcNi2HgMo

A geometry-optimized TcNi2HgMo structure (PBE, the Alexandria database).

abc: 4.5501 4.6195 4.5501
angles: 90.00 90.00 90.00
Sites, in units of the cell vectors:
Ni 0.0000 0.0000 0.5000
Mo 0.0000 0.0000 0.0000
Ni 0.5000 0.0000 0.0000
Hg 0.5000 0.5000 0.5000
Tc 0.0000 0.5000 0.0000

Results
uncorrected energy	-5.31	eV per atom
energy relative to the elements	1.305	eV/atom
total magnetization	0.00	μB per formula unit



[14]
# Ba2LiPt

A geometry-optimized Ba2LiPt structure (PBE, the Alexandria database).

abc: 4.5718 4.5718 8.7088
angles: 74.83 74.83 60.02
Sites, in units of the cell vectors:
Ba 0.2092 0.2092 0.3717
Pt 0.4581 0.4581 0.6254
Li 0.7916 0.7916 0.6250
Ba 0.0411 0.0411 0.8779

Results
uncorrected energy	-3.42	eV per atom
energy relative to the elements	-0.468	eV/atom
total magnetization	0.00	μB per formula unit



[15]
# VH2PdPt

A geometry-optimized VH2PdPt structure (PBE, the Alexandria database).

abc: 3.4757 5.2646 3.4757
angles: 90.00 90.00 90.00
Each line ends with the local moment (μB).
Sites, in units of the cell vectors:
Pt 0.0000 0.0000 0.0000  0.00
H 0.5000 0.0000 0.0000  0.00
H 0.0000 0.0000 0.5000  0.00
Pd 0.0000 0.5000 0.0000  -0.02
V 0.5000 0.5000 0.5000  0.29

Results
uncorrected energy	-4.98	eV per atom
total magnetization	0.28	μB per formula unit



[16]
# ZrPbO5

A geometry-optimized ZrPbO5 structure (PBE, the Alexandria database).

abc: 6.5294 7.9406 7.6768
angles: 88.67 91.28 107.08
Each line ends with the local moment (μB).
Sites, in units of the cell vectors:
Pb 0.1915 0.9491 0.0628  0.00
O 0.8010 0.8952 0.7304  0.03
Pb 0.3231 0.1780 0.4462  0.00
O 0.5549 0.4930 0.0164  0.01
O 0.8829 0.7422 0.0299  0.00
O 0.7979 0.3694 0.2631  0.05
O 0.7836 0.1083 0.0468  0.50
O 0.3924 0.4494 0.3529  0.00
O 0.6322 0.1729 0.5462  0.03
O 0.1154 0.1829 0.9322  0.30
O 0.0299 0.2264 0.5456  0.00
O 0.6215 0.8175 0.3516  0.01
Zr 0.7327 0.6346 0.7896  0.00
Zr 0.8082 0.1386 0.7799  -0.03
O 0.8476 0.6112 0.5253  0.01
Pb 0.2217 0.4773 0.9811  0.00
O 0.2386 0.8739 0.5981  0.29
O 0.3363 0.7437 0.0548  0.03
O 0.0506 0.0064 0.2989  0.03
O 0.4290 0.0425 0.8165  0.10
O 0.3963 0.5413 0.7194  0.00
O 0.0013 0.4956 0.2405  0.02
Zr 0.7635 0.0738 0.3228  -0.01
Zr 0.7042 0.6147 0.2580  0.00
Pb 0.1440 0.5271 0.5251  -0.01
O 0.3857 0.8828 0.7247  0.31
O 0.9354 0.4487 0.8091  0.00
O 0.4648 0.0998 0.2190  0.07

Results
uncorrected energy	-6.82	eV per atom
formation energy (no corrections)	-1.53	eV per atom
total magnetization	0.52	μB per formula unit



[17]
# AlTl5

A geometry-optimized AlTl5 structure (PBE, the Alexandria database).

abc: 6.2357 6.2357 5.9007
angles: 90.00 90.00 120.00
Sites, in units of the cell vectors:
Tl 0.3333 0.6667 0.0000
Tl 0.5000 0.0000 0.5000
Tl 0.6667 0.3333 0.0000
Tl 0.5000 0.5000 0.5000
Tl 0.0000 0.5000 0.5000
Al 0.0000 0.0000 0.0000

Results
uncorrected energy	-2.26	eV per atom
energy relative to the elements	0.337	eV/atom
total magnetization	0.00	μB per formula unit



[18]
# TiMo2H

A geometry-optimized TiMo2H structure (PBE, the Alexandria database).

abc: 5.5048 5.5048 5.4667
angles: 59.77 59.77 90.00
Sites, in units of the cell vectors:
Ti 0.0000 0.0000 0.0000
Mo 0.8750 0.6249 0.7500
H 0.2500 0.7500 0.5000
Mo 0.3750 0.6251 0.7500
Mo 0.3749 0.1250 0.2500
Mo 0.3751 0.6250 0.2500
H 0.5000 0.5000 0.0000
Ti 0.7500 0.2500 0.5000

Results
uncorrected energy	-7.85	eV per atom
total magnetization	0.00	μB per formula unit



[19]
# NaGeI2

A geometry-optimized NaGeI2 structure (PBE, the Alexandria database).

abc: 6.2974 6.2974 9.6722
angles: 71.00 71.00 90.00
Sites, in units of the cell vectors:
Na 0.5000 0.5000 0.0000
I 0.6476 0.1250 0.2500
Ge 0.7500 0.2500 0.5000
Na 0.2500 0.7500 0.5000
I 0.8750 0.8976 0.7500
I 0.1024 0.6250 0.2500
Ge 0.0000 0.0000 0.0000
I 0.3750 0.3524 0.7500

Results
uncorrected energy	-2.56	eV per atom
formation energy (no corrections)	-0.30	eV per atom
total magnetization	0.00	μB per formula unit



[20]
# Y2MnMo

A geometry-optimized Y2MnMo structure (PBE, the Alexandria database).

abc: 8.2550 8.2550 8.2550
angles: 157.23 154.22 34.66
Sites, in units of the cell vectors:
Mn 0.7500 0.2500 0.5000
Y 0.9043 0.9043 0.0000
Mo 0.2500 0.7500 0.5000
Y 0.5957 0.5957 0.0000

Results
uncorrected energy	-7.85	eV per atom
energy relative to the elements	0.381	eV/atom
total magnetization	0.00	μB per formula unit